Entry 1:
Here is a geometry-optimized RbSrPuBr6 structure from Alexandria via LeMat-Bulk. Energies are from PBE.

Cell: 7.832 7.832 14.702 Å, 90.00 90.00 120.00°
Atoms (fractional coordinates):
Rb (0.000, 0.000, 0.000)
Rb (0.000, 0.000, 0.500)
Sr (0.333, 0.667, 0.250)
Sr (0.667, 0.333, 0.750)
Pu (0.333, 0.667, 0.750)
Pu (0.667, 0.333, 0.250)
Br (0.017, 0.377, 0.638)
Br (0.017, 0.640, 0.862)
Br (0.360, 0.377, 0.862)
Br (0.360, 0.983, 0.638)
Br (0.377, 0.017, 0.138)
Br (0.377, 0.360, 0.362)
Br (0.623, 0.640, 0.638)
Br (0.623, 0.983, 0.862)
Br (0.640, 0.017, 0.362)
Br (0.640, 0.623, 0.138)
Br (0.983, 0.360, 0.138)
Br (0.983, 0.623, 0.362)

Calculated values
For the density of states at the Fermi level, the calculation gives 25.2 states/eV/cell. The calculation puts the density at 3.81 Mg/m³. As for the space group: P-31c (163). For the total energy, the calculation gives -86.2 eV per cell.


Entry 2:
Here is a geometry-optimized RbSrPu2Br8 structure from Alexandria via LeMat-Bulk. Energies are from PBE.

Cell: 7.058 9.219 7.341 Å, 90.00 91.41 90.00°
Atoms (fractional coordinates):
Rb (0.000, 0.000, 0.000)
Sr (0.000, 0.500, 0.000)
Pu (0.500, 0.251, 0.500)
Pu (0.500, 0.749, 0.500)
Br (0.260, 0.272, 0.170)
Br (0.260, 0.728, 0.170)
Br (0.270, 0.500, 0.652)
Br (0.275, 0.000, 0.625)
Br (0.725, 0.000, 0.375)
Br (0.730, 0.500, 0.348)
Br (0.740, 0.272, 0.830)
Br (0.740, 0.728, 0.830)

Calculated values
For the density of states at the Fermi level, the calculation gives 29.7 states/eV/cell. The calculation puts the density at 4.52 Mg/m³. As for the space group: P2/m (10). For the total energy, the calculation gives -65.0 eV per cell.


Entry 3:
Here is a geometry-optimized Rb2SrPuBr6 structure from Alexandria via LeMat-Bulk. Energies are from PBE.

Cell: 8.055 8.454 14.105 Å, 90.00 124.65 90.00°
Atoms (fractional coordinates):
Rb (0.226, 0.070, 0.250)
Rb (0.226, 0.430, 0.750)
Rb (0.774, 0.570, 0.250)
Rb (0.774, 0.930, 0.750)
Sr (0.500, 0.000, 0.000)
Sr (0.500, 0.500, 0.500)
Pu (0.000, 0.000, 0.500)
Pu (0.000, 0.500, 0.000)
Br (0.141, 0.203, 0.946)
Br (0.141, 0.297, 0.446)
Br (0.246, 0.700, 0.946)
Br (0.246, 0.800, 0.446)
Br (0.353, 0.033, 0.748)
Br (0.353, 0.467, 0.248)
Br (0.647, 0.533, 0.752)
Br (0.647, 0.967, 0.252)
Br (0.754, 0.200, 0.554)
Br (0.754, 0.300, 0.054)
Br (0.859, 0.703, 0.554)
Br (0.859, 0.797, 0.054)

Calculated values
For the density of states at the Fermi level, the calculation gives 39.4 states/eV/cell. The calculation puts the density at 4.13 Mg/m³. As for the space group: P2_1/c (14). For the total energy, the calculation gives -91.1 eV per cell.


Entry 4:
Here is a geometry-optimized Rb2SrPuBr8 structure from Alexandria via LeMat-Bulk. Energies are from PBE.

Cell: 7.224 9.313 7.852 Å, 90.00 92.03 90.00°
Atoms (fractional coordinates):
Rb (0.000, 0.250, 0.000)
Rb (0.000, 0.750, 0.000)
Sr (0.500, 0.000, 0.500)
Pu (0.500, 0.500, 0.500)
Br (0.258, 0.000, 0.190)
Br (0.276, 0.279, 0.621)
Br (0.276, 0.721, 0.621)
Br (0.303, 0.500, 0.195)
Br (0.697, 0.500, 0.805)
Br (0.724, 0.279, 0.379)
Br (0.724, 0.721, 0.379)
Br (0.742, 0.000, 0.810)

Calculated values
For the density of states at the Fermi level, the calculation gives 7.3 states/eV/cell. The calculation puts the density at 3.59 Mg/m³. As for the space group: P2/m (10). For the total energy, the calculation gives -50.9 eV per cell.


Entry 5:
Here is a geometry-optimized RbSr2PuBr8 structure from Alexandria via LeMat-Bulk. Energies are from PBE.

Cell: 7.067 9.526 7.207 Å, 90.00 90.15 90.00°
Atoms (fractional coordinates):
Rb (0.000, 0.000, 0.000)
Sr (0.500, 0.249, 0.500)
Sr (0.500, 0.751, 0.500)
Pu (0.000, 0.500, 0.000)
Br (0.241, 0.289, 0.157)
Br (0.241, 0.711, 0.157)
Br (0.257, 0.500, 0.674)
Br (0.268, 0.000, 0.624)
Br (0.732, 0.000, 0.376)
Br (0.743, 0.500, 0.326)
Br (0.759, 0.289, 0.843)
Br (0.759, 0.711, 0.843)

Calculated values
For the density of states at the Fermi level, the calculation gives 9.4 states/eV/cell. The calculation puts the density at 3.91 Mg/m³. As for the space group: P2/m (10). For the total energy, the calculation gives -54.0 eV per cell.


Entry 6:
Here is a geometry-optimized RbPuTeBr2 structure from Alexandria via LeMat-Bulk. Energies are from PBE.

Cell: 9.857 9.857 8.861 Å, 90.00 90.00 153.46°
Atoms (fractional coordinates):
Rb (0.208, 0.792, 0.750)
Rb (0.792, 0.208, 0.250)
Pu (0.500, 0.500, 0.000)
Pu (0.500, 0.500, 0.500)
Te (0.002, 0.998, 0.750)
Te (0.998, 0.002, 0.250)
Br (0.351, 0.649, 0.510)
Br (0.351, 0.649, 0.990)
Br (0.649, 0.351, 0.010)
Br (0.649, 0.351, 0.490)

Calculated values
For the density of states at the Fermi level, the calculation gives 29.8 states/eV/cell. The calculation puts the density at 5.33 Mg/m³. As for the space group: Cmcm (63). For the total energy, the calculation gives -57.6 eV per cell.


Entry 7:
Here is a geometry-optimized RbPuTl2Br5 structure from Alexandria via LeMat-Bulk. Energies are from PBE.

Cell: 9.478 9.478 9.478 Å, 145.03 129.47 62.93°
Atoms (fractional coordinates):
Rb (0.000, 0.000, 0.000)
Pu (0.500, 0.500, 0.000)
Tl (0.291, 0.791, 0.500)
Tl (0.709, 0.209, 0.500)
Br (0.113, 0.369, 0.744)
Br (0.376, 0.631, 0.744)
Br (0.500, 0.000, 0.500)
Br (0.624, 0.369, 0.256)
Br (0.887, 0.631, 0.256)

Calculated values
For the density of states at the Fermi level, the calculation gives 15.4 states/eV/cell. The calculation puts the density at 5.07 Mg/m³. As for the space group: Immm (71). For the total energy, the calculation gives -39.1 eV per cell.


Entry 8:
Here is a geometry-optimized Rb2PuTlBr8 structure from Alexandria via LeMat-Bulk. Energies are from PBE.

Cell: 7.258 7.545 9.507 Å, 90.05 90.00 93.31°
Atoms (fractional coordinates):
Rb (0.004, 0.001, 0.254)
Rb (0.996, 0.999, 0.746)
Pu (0.500, 0.500, 0.500)
Tl (0.500, 0.500, 0.000)
Br (0.276, 0.616, 0.285)
Br (0.279, 0.177, 0.998)
Br (0.279, 0.621, 0.715)
Br (0.304, 0.177, 0.503)
Br (0.696, 0.823, 0.497)
Br (0.721, 0.379, 0.285)
Br (0.721, 0.823, 0.002)
Br (0.724, 0.384, 0.715)

Calculated values
For the density of states at the Fermi level, the calculation gives 11.4 states/eV/cell. The calculation puts the density at 4.02 Mg/m³. As for the space group: P-1 (2). For the total energy, the calculation gives -46.9 eV per cell.